(1)
{"formula": "Dy5Ho3Er2", "functional": "PBE", "state": "relaxed", "lattice": [[-4.836, -0.350, 3.901], [-1.941, -10.670, 1.601], [3.807, 2.682, 9.924]], "species": ["Ho", "Ho", "Dy", "Ho", "Er", "Dy", "Er", "Dy", "Ho", "Er", "Dy", "Dy", "Dy", "Dy", "Er", "Dy", "Dy", "Ho", "Ho", "Dy"], "fractional_positions": [[0.250, 0.000, 0.000], [0.750, 0.000, 0.000], [0.501, 0.249, 0.249], [0.659, 0.590, 0.092], [0.598, 0.059, 0.745], [0.499, 0.751, 0.751], [0.402, 0.941, 0.255], [0.100, 0.557, 0.243], [0.341, 0.410, 0.908], [0.098, 0.745, 0.059], [0.250, 0.500, 0.500], [0.750, 0.500, 0.500], [0.400, 0.757, 0.443], [0.001, 0.249, 0.249], [0.902, 0.255, 0.941], [0.900, 0.443, 0.757], [0.600, 0.243, 0.557], [0.159, 0.092, 0.590], [0.841, 0.908, 0.410], [0.999, 0.751, 0.751]], "delta_e_f_ev_per_fu": 3.60, "vol_a3_per_cell": 662.2}

(2)
{"formula": "Tb2GeP", "functional": "PBE", "state": "relaxed", "lattice": [[3.818, 0.000, 0.000], [1.909, 3.306, 0.000], [1.909, 1.102, 9.111]], "species": ["Tb", "Tb", "Ge", "P"], "fractional_positions": [[0.107, 0.107, 0.680], [0.893, 0.893, 0.320], [0.000, 0.000, 0.000], [0.500, 0.500, 0.500]], "delta_e_f_ev_per_fu": -2.28, "vol_a3_per_cell": 115.0}

(3)
{"formula": "Pr2InCl", "functional": "PBE", "state": "relaxed", "lattice": [[3.790, 0.000, 0.000], [1.895, 3.282, 0.000], [1.895, 1.094, 9.226]], "species": ["In", "Cl", "Pr", "Pr"], "fractional_positions": [[0.667, 0.667, 0.000], [0.500, 0.500, 0.500], [0.245, 0.245, 0.264], [0.088, 0.088, 0.736]], "energy_ev_per_atom": -4.434, "vol_a3_per_cell": 114.8}

(4)
{"formula": "TbPr2Sm2Ho", "functional": "PBE", "state": "relaxed", "lattice": [[5.725, 0.000, 0.000], [0.000, 7.096, 0.000], [0.000, 0.000, 9.920]], "species": ["Tb", "Pr", "Pr", "Sm", "Pr", "Pr", "Tb", "Sm", "Ho", "Sm", "Sm", "Ho"], "fractional_positions": [[0.500, 0.758, 0.341], [0.500, 0.508, 0.000], [0.500, 0.008, 0.000], [0.000, 0.758, 0.164], [0.000, 0.758, 0.823], [0.000, 0.258, 0.177], [0.500, 0.258, 0.659], [0.000, 0.258, 0.836], [0.000, 0.008, 0.500], [0.500, 0.258, 0.332], [0.500, 0.758, 0.668], [0.000, 0.508, 0.500]], "delta_e_f_ev_per_fu": 0.35, "vol_a3_per_cell": 403.0}

(5)
{"formula": "RuPt4", "functional": "PBE", "state": "relaxed", "lattice": [[-3.850, 2.229, 1.594], [-2.185, -4.156, 0.535], [1.654, -0.301, 4.416]], "species": ["Pt", "Ru", "Pt", "Pt", "Pt"], "fractional_positions": [[0.500, 0.500, 0.000], [0.500, 0.500, 0.500], [0.000, 0.500, 0.500], [0.000, 0.000, 0.000], [0.500, 0.000, 0.500]], "delta_e_f_ev_per_fu": 7.78, "vol_a3_per_cell": 105.5}

(6)
{"formula": "BaSr2AlNi", "functional": "PBE", "state": "relaxed", "lattice": [[-0.385, 5.067, -2.883], [-1.896, -2.841, -4.740], [-4.663, 0.527, 1.550]], "species": ["Sr", "Ba", "Ni", "Sr", "Al"], "fractional_positions": [[0.000, 0.500, 0.000], [0.500, 0.500, 0.500], [0.000, 0.000, 0.000], [0.500, 0.000, 0.000], [0.000, 0.000, 0.500]], "delta_e_f_ev_per_fu": -0.09, "vol_a3_per_cell": 168.7}

(7)
{"formula": "Li2Ca3Al9", "functional": "PBE", "state": "relaxed", "lattice": [[4.495, 0.000, 0.000], [2.248, 8.145, 0.191], [2.248, 2.033, 7.890]], "species": ["Al", "Al", "Al", "Ca", "Li", "Al", "Al", "Ca", "Al", "Ca", "Al", "Li", "Al", "Al"], "fractional_positions": [[0.861, 0.420, 0.858], [0.343, 0.021, 0.293], [0.343, 0.293, 0.021], [0.000, 0.000, 0.000], [0.500, 0.681, 0.319], [0.139, 0.142, 0.580], [0.000, 0.500, 0.500], [0.299, 0.701, 0.701], [0.139, 0.580, 0.142], [0.701, 0.299, 0.299], [0.657, 0.979, 0.707], [0.500, 0.319, 0.681], [0.861, 0.858, 0.420], [0.657, 0.707, 0.979]], "delta_e_f_ev_per_fu": -3.45, "vol_a3_per_cell": 287.1}

(8)
{"formula": "NaAs2Au", "functional": "PBE", "state": "relaxed", "lattice": [[0.000, 3.398, 3.398], [3.398, 0.000, 3.398], [3.398, 3.398, 0.000]], "species": ["Na", "As", "As", "Au"], "fractional_positions": [[0.000, 0.000, 0.000], [0.250, 0.250, 0.250], [0.750, 0.750, 0.750], [0.500, 0.500, 0.500]], "delta_e_f_ev_per_fu": 0.35, "vol_a3_per_cell": 78.5}

(9)
{"formula": "Y2ZnCoAs", "functional": "PBE", "state": "relaxed", "lattice": [[5.389, 0.000, 0.000], [0.000, 4.541, 0.000], [0.000, 0.000, 5.389]], "species": ["As", "Y", "Zn", "Co", "Y"], "fractional_positions": [[0.000, 0.000, 0.000], [0.500, 0.000, 0.000], [0.000, 0.500, 0.000], [0.500, 0.500, 0.500], [0.000, 0.000, 0.500]], "delta_e_f_ev_per_fu": 1.07, "vol_a3_per_cell": 131.9}

(10)
{"formula": "PaCrH3", "functional": "PBE", "state": "relaxed", "lattice": [[4.500, 0.000, 0.000], [0.000, 5.014, -0.346], [0.000, -2.469, 8.738]], "species": ["Cr", "Pa", "Pa", "Pa", "Pa", "H", "H", "Cr", "H", "Cr", "H", "H", "Cr", "H", "H", "H", "H", "H", "H", "H"], "fractional_positions": [[0.783, 0.433, 0.589], [0.261, 0.565, 0.845], [0.239, 0.065, 0.345], [0.739, 0.435, 0.155], [0.761, 0.935, 0.655], [0.767, 0.427, 0.773], [0.042, 0.757, 0.093], [0.283, 0.067, 0.911], [0.869, 0.402, 0.392], [0.217, 0.567, 0.411], [0.267, 0.073, 0.727], [0.369, 0.098, 0.108], [0.717, 0.933, 0.089], [0.958, 0.243, 0.907], [0.233, 0.573, 0.227], [0.733, 0.927, 0.273], [0.542, 0.743, 0.407], [0.458, 0.257, 0.593], [0.631, 0.902, 0.892], [0.131, 0.598, 0.608]], "energy_ev_per_atom": -5.977, "vol_a3_per_cell": 193.3}

(11)
{"formula": "KInCl", "functional": "PBE", "state": "relaxed", "lattice": [[-3.078, -3.656, -2.893], [2.483, -3.650, -3.424], [0.132, -5.427, 1.322]], "species": ["K", "In", "Cl"], "fractional_positions": [[0.000, 0.000, 0.000], [0.750, 0.750, 0.750], [0.500, 0.500, 0.500]], "energy_ev_per_atom": -2.289, "vol_a3_per_cell": 123.3}

(12)
{"formula": "CuAg3Ir", "functional": "PBE", "state": "relaxed", "lattice": [[4.634, 0.000, 0.000], [0.000, 4.634, 0.000], [0.000, 0.000, 4.634]], "species": ["Ag", "Ag", "Ag", "Cu", "Ir"], "fractional_positions": [[0.000, 0.000, 0.500], [0.000, 0.500, 0.000], [0.500, 0.000, 0.000], [0.000, 0.000, 0.000], [0.500, 0.500, 0.500]], "delta_e_f_ev_per_fu": 6.12, "vol_a3_per_cell": 99.5}

(13)
{"formula": "Mg3Sb", "functional": "PBE", "state": "relaxed", "lattice": [[-4.346, 3.799, -0.047], [-3.238, -3.666, 3.066], [1.988, 2.335, 4.891]], "species": ["Mg", "Mg", "Mg", "Sb", "Mg", "Mg", "Sb", "Mg"], "fractional_positions": [[0.750, 0.500, 0.000], [0.000, 0.250, 0.500], [0.000, 0.750, 0.500], [0.500, 0.500, 0.500], [0.500, 0.000, 0.750], [0.250, 0.500, 0.000], [0.000, 0.000, 0.000], [0.500, 0.000, 0.250]], "energy_ev_per_atom": -2.311, "vol_a3_per_cell": 192.4}

(14)
{"formula": "AcPmHo3Er", "functional": "PBE", "state": "relaxed", "lattice": [[-4.122, 3.366, -1.877], [-3.290, -9.282, -0.936], [-2.843, 0.589, 7.299]], "species": ["Ho", "Ho", "Pm", "Er", "Pm", "Ho", "Ho", "Er", "Ac", "Ho", "Ac", "Ho"], "fractional_positions": [[0.164, 0.328, 0.707], [0.527, 0.054, 0.691], [0.954, 0.907, 0.708], [0.656, 0.311, 0.443], [0.046, 0.093, 0.292], [0.221, 0.442, 0.247], [0.473, 0.946, 0.309], [0.344, 0.689, 0.557], [0.363, 0.725, 0.975], [0.836, 0.672, 0.293], [0.637, 0.275, 0.025], [0.779, 0.558, 0.753]], "delta_e_f_ev_per_fu": 1.41, "vol_a3_per_cell": 419.9}

(15)
{"formula": "PmMg3Pb3", "functional": "PBE", "state": "relaxed", "lattice": [[-5.366, 0.029, -5.706], [3.614, -6.044, -3.430], [-4.415, -4.982, 4.127]], "species": ["Pb", "Pb", "Pm", "Mg", "Pb", "Mg", "Mg", "Pb", "Mg", "Pm", "Pb", "Pb", "Mg", "Mg"], "fractional_positions": [[0.500, 0.250, 0.000], [0.500, 0.750, 0.000], [0.500, 0.500, 0.500], [0.500, 0.000, 0.750], [0.000, 0.500, 0.750], [0.000, 0.750, 0.500], [0.250, 0.500, 0.000], [0.250, 0.000, 0.500], [0.000, 0.250, 0.500], [0.000, 0.000, 0.000], [0.000, 0.500, 0.250], [0.750, 0.000, 0.500], [0.500, 0.000, 0.250], [0.750, 0.500, 0.000]], "delta_e_f_ev_per_fu": 2.77, "vol_a3_per_cell": 480.5}

(16)
{"formula": "SrCeAg10", "functional": "PBE", "state": "relaxed", "lattice": [[4.710, 0.000, 0.000], [0.000, 5.678, 0.000], [0.000, 0.000, 9.844]], "species": ["Ag", "Ag", "Ag", "Ag", "Ag", "Ag", "Ag", "Ce", "Ag", "Ag", "Ag", "Sr"], "fractional_positions": [[0.000, 0.500, 0.170], [0.500, 0.253, 0.746], [0.500, 0.500, 0.000], [0.000, 0.000, 0.337], [0.500, 0.000, 0.500], [0.000, 0.500, 0.830], [0.500, 0.747, 0.746], [0.000, 0.500, 0.500], [0.500, 0.253, 0.254], [0.500, 0.747, 0.254], [0.000, 0.000, 0.663], [0.000, 0.000, 0.000]], "delta_e_f_ev_per_fu": -1.25, "vol_a3_per_cell": 263.3}

(17)
{"formula": "Cs2BaInSn", "functional": "PBE", "state": "relaxed", "lattice": [[-2.297, -5.360, 4.943], [4.921, 1.241, 3.632], [-4.103, 5.235, 3.770]], "species": ["In", "Cs", "Ba", "Sn", "Cs"], "fractional_positions": [[0.000, 0.500, 0.000], [0.500, 0.000, 0.000], [0.000, 0.000, 0.000], [0.500, 0.500, 0.500], [0.000, 0.000, 0.500]], "delta_e_f_ev_per_fu": 3.33, "vol_a3_per_cell": 364.7}

(18)
{"formula": "TaCdAu", "functional": "PBE", "state": "relaxed", "lattice": [[-1.921, -1.261, 3.838], [0.936, -4.004, 1.760], [2.443, -0.285, 3.736]], "species": ["Au", "Ta", "Cd"], "fractional_positions": [[0.750, 0.750, 0.750], [0.500, 0.500, 0.500], [0.000, 0.000, 0.000]], "delta_e_f_ev_per_fu": 0.98, "vol_a3_per_cell": 63.3}

(19)
{"formula": "PmPrBr4", "functional": "PBE", "state": "relaxed", "lattice": [[7.218, 0.000, -3.671], [-1.988, 6.995, -3.908], [-0.386, -0.416, 8.172]], "species": ["Br", "Br", "Br", "Br", "Pm", "Br", "Br", "Pr", "Pm", "Br", "Pr", "Br"], "fractional_positions": [[0.755, 0.734, 0.511], [0.245, 0.266, 0.489], [0.246, 0.260, 0.021], [0.775, 0.260, 0.021], [0.500, 0.500, 0.000], [0.245, 0.723, 0.489], [0.225, 0.740, 0.979], [0.000, 0.000, 0.500], [0.500, 0.000, 0.000], [0.755, 0.277, 0.511], [0.500, 0.000, 0.500], [0.754, 0.740, 0.979]], "energy_ev_per_atom": -4.345, "vol_a3_per_cell": 387.9}

(20)
{"formula": "Tb2Nd2SmHo2", "functional": "PBE", "state": "relaxed", "lattice": [[5.081, 0.000, 0.000], [-2.540, 5.671, 0.306], [0.000, -1.566, 7.890]], "species": ["Ho", "Nd", "Tb", "Ho", "Sm", "Tb", "Nd"], "fractional_positions": [[0.285, 0.570, 0.860], [0.143, 0.286, 0.428], [0.429, 0.858, 0.283], [0.715, 0.430, 0.140], [0.000, 0.000, 0.000], [0.571, 0.142, 0.717], [0.857, 0.714, 0.572]], "delta_e_f_ev_per_fu": 0.12, "vol_a3_per_cell": 229.8}

(21)
{"formula": "Hf3VSb", "functional": "PBE", "state": "relaxed", "lattice": [[-0.378, 0.537, 5.161], [-4.313, -2.908, -0.013], [2.884, -4.280, 0.657]], "species": ["V", "Hf", "Hf", "Sb", "Hf"], "fractional_positions": [[0.500, 0.500, 0.500], [0.500, 0.000, 0.000], [0.000, 0.500, 0.000], [0.000, 0.000, 0.000], [0.000, 0.000, 0.500]], "energy_ev_per_atom": -7.402, "vol_a3_per_cell": 140.8}

(22)
{"formula": "Li4OF2", "functional": "PBE", "state": "relaxed", "lattice": [[2.850, 0.000, 0.000], [-1.425, 4.799, 0.000], [0.000, 0.000, 9.060]], "species": ["Li", "O", "Li", "O", "F", "F", "Li", "Li", "F", "Li", "Li", "Li", "F", "Li"], "fractional_positions": [[0.208, 0.415, 0.873], [0.387, 0.774, 0.250], [0.792, 0.585, 0.127], [0.613, 0.226, 0.750], [0.869, 0.739, 0.570], [0.131, 0.261, 0.070], [0.500, 0.000, 0.000], [0.983, 0.965, 0.750], [0.869, 0.739, 0.930], [0.792, 0.585, 0.373], [0.017, 0.035, 0.250], [0.208, 0.415, 0.627], [0.131, 0.261, 0.430], [0.500, 0.000, 0.500]], "energy_ev_per_atom": -4.719, "vol_a3_per_cell": 123.9}

(23)
{"formula": "CePmBi2", "functional": "PBE", "state": "relaxed", "lattice": [[5.586, 0.000, 0.000], [2.793, 4.838, 0.000], [2.793, 1.613, 4.561]], "species": ["Bi", "Pm", "Bi", "Ce"], "fractional_positions": [[0.250, 0.250, 0.250], [0.500, 0.500, 0.500], [0.750, 0.750, 0.750], [0.000, 0.000, 0.000]], "delta_e_f_ev_per_fu": -2.66, "vol_a3_per_cell": 123.3}